# 1
# Ca2TaOs PBE-GGA relaxed
# magnetic moment = 0.00 μB/f.u.
# energy above the most stable polymorph in this dataset = 621 meV/atom
# formation energy = 0.764 eV per atom
data_Ca2TaOs
_cell_length_a 3.4693
_cell_length_b 4.7025
_cell_length_c 10.2731
_cell_angle_alpha 90.00
_cell_angle_beta 90.00
_cell_angle_gamma 90.00
_space_group_name_H-M_alt 'C m m m'
_space_group_IT_number 65
_space_group_name_Hall '-C 2 2'
loop_
_atom_site_label
_atom_site_type_symbol
_atom_site_fract_x
_atom_site_fract_y
_atom_site_fract_z
Ca1 Ca 0.0000 0.0000 0.2233
Ta1 Ta 0.0000 0.5000 0.5000
Os1 Os 0.0000 0.5000 0.0000

# 2
# MgCrPd PBE-GGA relaxed
# magnetic moment = 0.14 μB/f.u.
# formation energy = 0.504 eV per atom
data_MgCrPd
_cell_length_a 5.9568
_cell_length_b 5.9568
_cell_length_c 5.9568
_cell_angle_alpha 90.00
_cell_angle_beta 90.00
_cell_angle_gamma 90.00
_space_group_name_H-M_alt 'F -4 3 m'
_space_group_IT_number 216
_space_group_name_Hall 'F -4 2 3'
loop_
_atom_site_label
_atom_site_type_symbol
_atom_site_fract_x
_atom_site_fract_y
_atom_site_fract_z
Mg1 Mg 0.0000 0.0000 0.0000
Cr1 Cr 0.0000 0.0000 0.5000
Pd1 Pd 0.2500 0.2500 0.2500

# 3
# TbEuYSc PBE-GGA relaxed
# magnetic moment = 8.02 μB/f.u.
# formation energy = 0.175 eV per atom
data_TbEuYSc
_cell_length_a 7.9621
_cell_length_b 7.9621
_cell_length_c 7.9621
_cell_angle_alpha 90.00
_cell_angle_beta 90.00
_cell_angle_gamma 90.00
_space_group_name_H-M_alt 'F -4 3 m'
_space_group_IT_number 216
_space_group_name_Hall 'F -4 2 3'
loop_
_atom_site_label
_atom_site_type_symbol
_atom_site_fract_x
_atom_site_fract_y
_atom_site_fract_z
Tb1 Tb 0.0000 0.0000 0.0000
Eu1 Eu 0.2500 0.2500 0.2500
Y1 Y 0.0000 0.0000 0.5000
Sc1 Sc 0.2500 0.2500 0.7500

# 4
# ZrTc2Ir PBE-GGA relaxed
# magnetic moment = 0.00 μB/f.u.
# energy above the most stable polymorph in this dataset = 41 meV/atom
# formation energy = -0.141 eV per atom
data_ZrTc2Ir
_cell_length_a 3.9945
_cell_length_b 4.0803
_cell_length_c 7.9310
_cell_angle_alpha 90.00
_cell_angle_beta 90.00
_cell_angle_gamma 90.00
_space_group_name_H-M_alt 'I m m 2'
_space_group_IT_number 44
loop_
_space_group_symop_operation_xyz
'x,y,z'
'-x,-y,z'
'-x,y,z'
'x,-y,z'
'x+1/2,y+1/2,z+1/2'
'-x+1/2,-y+1/2,z+1/2'
'-x+1/2,y+1/2,z+1/2'
'x+1/2,-y+1/2,z+1/2'
loop_
_atom_site_label
_atom_site_type_symbol
_atom_site_fract_x
_atom_site_fract_y
_atom_site_fract_z
Zr1 Zr 0.0000 0.0000 0.0000
Tc1 Tc 0.0000 0.0000 0.5056
Tc2 Tc 0.0000 0.5000 0.2494
Ir1 Ir 0.0000 0.5000 0.7529

# 5
# Ac2PmTe2O2 PBE-GGA relaxed
# magnetic moment = 0.00 μB/f.u.
# raw total energy = -6.359 eV per atom
data_Ac2PmTe2O2
_cell_length_a 4.6062
_cell_length_b 4.6062
_cell_length_c 17.2016
_cell_angle_alpha 90.00
_cell_angle_beta 90.00
_cell_angle_gamma 90.00
_space_group_name_H-M_alt 'I 4/m m m'
_space_group_IT_number 139
_space_group_name_Hall '-I 4 2'
loop_
_atom_site_label
_atom_site_type_symbol
_atom_site_fract_x
_atom_site_fract_y
_atom_site_fract_z
Ac1 Ac 0.0000 0.0000 0.1157
Pm1 Pm 0.0000 0.0000 0.5000
Te1 Te 0.0000 0.0000 0.3178
O1 O 0.0000 0.5000 0.0000

# 6
# Sn2PbBr PBE-GGA relaxed
# magnetic moment = 0.00 μB/f.u.
# energy above the most stable polymorph in this dataset = 0 meV/atom
data_Sn2PbBr
_cell_length_a 4.4110
_cell_length_b 4.4110
_cell_length_c 25.7746
_cell_angle_alpha 90.00
_cell_angle_beta 90.00
_cell_angle_gamma 90.00
_space_group_name_H-M_alt 'I -4 2 d'
_space_group_IT_number 122
_space_group_name_Hall 'I -4 2bw'
loop_
_atom_site_label
_atom_site_type_symbol
_atom_site_fract_x
_atom_site_fract_y
_atom_site_fract_z
Sn1 Sn 0.2428 0.2500 0.1250
Pb1 Pb 0.0000 0.0000 0.0000
Br1 Br 0.0000 0.0000 0.5000

# 7
# GdTmHgIr PBE-GGA relaxed
# magnetic moment = 7.07 μB/f.u.
# formation energy = -0.615 eV per atom
data_GdTmHgIr
_cell_length_a 7.1114
_cell_length_b 7.1114
_cell_length_c 7.1114
_cell_angle_alpha 90.00
_cell_angle_beta 90.00
_cell_angle_gamma 90.00
_space_group_name_H-M_alt 'F -4 3 m'
_space_group_IT_number 216
_space_group_name_Hall 'F -4 2 3'
loop_
_atom_site_label
_atom_site_type_symbol
_atom_site_fract_x
_atom_site_fract_y
_atom_site_fract_z
Gd1 Gd 0.0000 0.0000 0.0000
Tm1 Tm 0.0000 0.0000 0.5000
Hg1 Hg 0.2500 0.2500 0.2500
Ir1 Ir 0.2500 0.2500 0.7500

# 8
# NdCoAg PBE-GGA relaxed
# magnetic moment = 0.57 μB/f.u.
# formation energy = -0.091 eV per atom
data_NdCoAg
_cell_length_a 12.9462
_cell_length_b 3.9941
_cell_length_c 5.0125
_cell_angle_alpha 90.00
_cell_angle_beta 102.71
_cell_angle_gamma 90.00
_space_group_name_H-M_alt 'C 1 2/m 1'
_space_group_IT_number 12
loop_
_space_group_symop_operation_xyz
'x,y,z'
'-x,-y,-z'
'-x,y,-z'
'x,-y,z'
'x+1/2,y+1/2,z'
'-x+1/2,-y+1/2,-z'
'-x+1/2,y+1/2,-z'
'x+1/2,-y+1/2,z'
loop_
_atom_site_label
_atom_site_type_symbol
_atom_site_fract_x
_atom_site_fract_y
_atom_site_fract_z
Nd1 Nd 0.1257 0.0000 0.3276
Co1 Co 0.2301 0.0000 0.9007
Ag1 Ag 0.0755 0.5000 0.7851

# 9
# Sr2YCr PBE-GGA relaxed
# magnetic moment = 3.85 μB/f.u.
# energy above the most stable polymorph in this dataset = 183 meV/atom
# formation energy = 0.529 eV per atom
data_Sr2YCr
_cell_length_a 3.9407
_cell_length_b 3.9407
_cell_length_c 9.3770
_cell_angle_alpha 90.00
_cell_angle_beta 90.00
_cell_angle_gamma 90.00
_space_group_name_H-M_alt 'P 4/m m m'
_space_group_IT_number 123
_space_group_name_Hall '-P 4 2'
loop_
_atom_site_label
_atom_site_type_symbol
_atom_site_fract_x
_atom_site_fract_y
_atom_site_fract_z
Sr1 Sr 0.0000 0.0000 0.2144
Y1 Y 0.5000 0.5000 0.5000
Cr1 Cr 0.5000 0.5000 0.0000

# 10
# HfTiHg3 PBE-GGA relaxed
# magnetic moment = 1.35 μB/f.u.
# energy above the most stable polymorph in this dataset = 0 meV/atom
# formation energy = 0.925 eV per atom
data_HfTiHg3
_cell_length_a 5.0836
_cell_length_b 5.0836
_cell_length_c 5.0836
_cell_angle_alpha 90.00
_cell_angle_beta 90.00
_cell_angle_gamma 90.00
_space_group_name_H-M_alt 'P m -3 m'
_space_group_IT_number 221
_space_group_name_Hall '-P 4 2 3'
loop_
_atom_site_label
_atom_site_type_symbol
_atom_site_fract_x
_atom_site_fract_y
_atom_site_fract_z
Hf1 Hf 0.0000 0.0000 0.0000
Ti1 Ti 0.5000 0.5000 0.5000
Hg1 Hg 0.0000 0.5000 0.5000

# 11
# RbSrYCl6 PBE-GGA relaxed
# magnetic moment = 0.00 μB/f.u.
# raw total energy = -4.554 eV per atom
data_RbSrYCl6
_cell_length_a 7.3927
_cell_length_b 7.3927
_cell_length_c 13.9340
_cell_angle_alpha 90.00
_cell_angle_beta 90.00
_cell_angle_gamma 120.00
_space_group_name_H-M_alt 'P -3 1 c'
_space_group_IT_number 163
_space_group_name_Hall '-P 3 2c'
loop_
_atom_site_label
_atom_site_type_symbol
_atom_site_fract_x
_atom_site_fract_y
_atom_site_fract_z
Rb1 Rb 0.0000 0.0000 0.0000
Sr1 Sr 0.3333 0.6667 0.2500
Y1 Y 0.3333 0.6667 0.7500
Cl1 Cl 0.0254 0.3839 0.6409

# 12
# Dy2Tm6Th3 PBE-GGA relaxed
# magnetic moment = 0.00 μB/f.u.
# formation energy = 0.186 eV per atom
data_Dy2Tm6Th3
_cell_length_a 6.1037
_cell_length_b 10.6394
_cell_length_c 11.3954
_cell_angle_alpha 90.00
_cell_angle_beta 101.20
_cell_angle_gamma 90.00
_space_group_name_H-M_alt 'C 1 2/m 1'
_space_group_IT_number 12
loop_
_space_group_symop_operation_xyz
'x,y,z'
'-x,-y,-z'
'-x,y,-z'
'x,-y,z'
'x+1/2,y+1/2,z'
'-x+1/2,-y+1/2,-z'
'-x+1/2,y+1/2,-z'
'x+1/2,-y+1/2,z'
loop_
_atom_site_label
_atom_site_type_symbol
_atom_site_fract_x
_atom_site_fract_y
_atom_site_fract_z
Dy1 Dy 0.0000 0.1637 0.0000
Tm1 Tm 0.2449 0.3343 0.2512
Tm2 Tm 0.2462 0.0000 0.2551
Th1 Th 0.0000 0.0000 0.5000
Th2 Th 0.0000 0.3331 0.5000